Entry 1:
A plane-wave DFT calculation with PBE-GGA was carried out for crystalline Pu2ICl2 at its relaxed geometry.

Lattice parameters (Å, degrees): 9.7236 9.7236 7.7109 90.00 90.00 90.00
Closest atoms and distances in Å follow each position.
Space group I4_1md (No. 109)
Symmetry-distinct sites (fractional):
Pu: 0.0000 0.1903 0.0000 (multiplicity 8)  3 Cl 2.79-2.82
I: 0.0000 0.0000 0.6405 (multiplicity 4)  4 Pu 3.13-3.33
Cl: 0.0000 0.2973 0.3393 (multiplicity 8)  3 Pu 2.79-2.82

Its energy is -39.3 eV per formula unit. The value obtained for the energy relative to the elements, uncorrected is -1084 meV per atom. The calculation puts the density of states at the Fermi level at 3.6531 states/eV per atom.

Entry 2:
A plane-wave DFT calculation with PBE-GGA was carried out for crystalline PuI3Cl at its relaxed geometry.

Lattice parameters (Å, degrees): 8.5625 10.1506 11.1440 90.00 90.00 90.00
Closest atoms and distances in Å follow each position.
Space group Imma (No. 74)
Symmetry-distinct sites (fractional):
Pu: 0.2500 0.2500 0.2500 (multiplicity 4)  2 Cl 2.70, 2 I 2.91
I: 0.0000 0.2500 0.0512 (multiplicity 4)  2 Pu 3.08
I: 0.2500 0.0371 0.7500 (multiplicity 8)  1 Pu 2.91
Cl: 0.0000 0.2500 0.3973 (multiplicity 4)  2 Pu 2.70

Its energy is -26.0 eV per formula unit. The value obtained for the energy relative to the elements, uncorrected is -1036 meV per atom. The calculation puts the density of states at the Fermi level at 2.0532 states/eV per atom.